Li2ScBr, optimized geometry, DFT PBE; formation energy without anion corrections = -18 kJ/mol of atoms; theoretical density = 2.732 g/cm3; D(E_F) = 3.26 states/eV/cell
1.0
3.972 0.000 0.000
0.000 3.972 0.000
0.000 0.000 5.346
Li Sc Br
2 1 1
direct
0.000 0.500 0.000
0.500 0.000 0.000
0.000 0.000 0.500
0.500 0.500 0.500

=====

Li2ScBr, optimized geometry, DFT PBE; formation energy without anion corrections = -1 kJ/mol of atoms; theoretical density = 2.673 g/cm3; D(E_F) = 3.77 states/eV/cell
1.0
0.000 3.506 3.506
3.506 0.000 3.506
3.506 3.506 0.000
Li Sc Br
2 1 1
direct
0.000 0.000 0.000
0.250 0.250 0.250
0.750 0.750 0.750
0.500 0.500 0.500

=====

LiScBr, optimized geometry, DFT PBE; formation energy without anion corrections = -25 kJ/mol of atoms; theoretical density = 3.151 g/cm3; D(E_F) = 3.01 states/eV/cell
1.0
4.651 0.000 0.000
-2.325 4.028 0.000
0.000 0.000 3.707
Li Sc Br
1 1 1
direct
0.000 0.000 0.000
0.333 0.667 0.532
0.667 0.333 0.709

=====

LiScBr3, optimized geometry, DFT PBE; formation energy without anion corrections = -85 kJ/mol of atoms; theoretical density = 3.910 g/cm3; D(E_F) = 5.26 states/eV/cell
1.0
4.984 0.000 0.000
0.000 4.984 0.000
0.000 0.000 4.984
Li Sc Br
1 1 3
direct
0.000 0.000 0.000
0.500 0.500 0.500
0.000 0.000 0.500
0.000 0.500 0.000
0.500 0.000 0.000

=====

Li2ScBr, optimized geometry, DFT PBE; formation energy without anion corrections = -34 kJ/mol of atoms; theoretical density = 2.775 g/cm3; D(E_F) = 2.52 states/eV/cell
1.0
3.430 0.000 0.000
0.000 3.430 0.000
0.000 0.000 7.056
Li Sc Br
2 1 1
direct
0.000 0.000 0.000
0.500 0.500 0.220
0.000 0.000 0.485
0.500 0.500 0.767

=====

LiScBr2, optimized geometry, DFT PBE; formation energy without anion corrections = -78 kJ/mol of atoms; theoretical density = 4.130 g/cm3; D(E_F) = 1.26 states/eV/cell
1.0
0.000 3.491 3.491
3.491 0.000 3.491
3.491 3.491 0.000
Li Sc Br
1 1 2
direct
0.000 0.000 0.000
0.500 0.500 0.500
0.250 0.250 0.250
0.750 0.750 0.750

=====

LiScBr2, optimized geometry, DFT PBE; formation energy without anion corrections = -97 kJ/mol of atoms; theoretical density = 3.324 g/cm3; D(E_F) = 3.09 states/eV/cell
1.0
1.827 1.055 9.145
-1.827 1.055 9.145
0.000 -2.110 9.145
Li Sc Br
1 1 2
direct
0.000 0.000 0.000
0.500 0.500 0.500
0.102 0.102 0.102
0.898 0.898 0.898

=====

LiScBr, optimized geometry, DFT PBE; formation energy without anion corrections = -47 kJ/mol of atoms; theoretical density = 3.122 g/cm3; D(E_F) = 2.22 states/eV/cell
1.0
-1.678 1.678 6.224
1.678 -1.678 6.224
1.678 1.678 -6.224
Li Sc Br
1 1 1
direct
0.000 0.000 0.000
0.318 0.318 0.000
0.683 0.683 0.000